1.
# PBE NaAc3Nd2S6, relaxed
# Uncorrected formation energy = -1933 meV per atom
data_NaAc3Nd2S6
_chemical_formula_sum 'Na1 Ac3 Nd2 S6'
_cell_length_a 7.3003
_cell_length_b 7.3003
_cell_length_c 7.2206
_cell_angle_alpha 99.71
_cell_angle_beta 99.71
_cell_angle_gamma 120.13
_symmetry_space_group_name_H-M 'P 1'
_symmetry_Int_Tables_number 1
loop_
_symmetry_equiv_pos_as_xyz
'x,y,z'
loop_
_atom_site_label
_atom_site_type_symbol
_atom_site_fract_x
_atom_site_fract_y
_atom_site_fract_z
_atom_site_occupancy
Na1 Na 0.0000 0.0000 0.0000 1
Ac1 Ac 0.1653 0.8347 0.5000 1
Ac2 Ac 0.8347 0.1653 0.5000 1
Ac3 Ac 0.5000 0.5000 0.5000 1
Nd1 Nd 0.3336 0.6664 0.0000 1
Nd2 Nd 0.6664 0.3336 0.0000 1
S1 S 0.9213 0.5884 0.7635 1
S2 S 0.7458 0.7458 0.2329 1
S3 S 0.0787 0.4116 0.2365 1
S4 S 0.5884 0.9213 0.7635 1
S5 S 0.2542 0.2542 0.7671 1
S6 S 0.4116 0.0787 0.2365 1

***

2.
# PBE BeCd2Pt, relaxed
# Energy relative to the elements = 0.1 kJ/mol of atoms
data_BeCd2Pt
_chemical_formula_sum 'Be1 Cd2 Pt1'
_cell_length_a 4.1181
_cell_length_b 3.9928
_cell_length_c 3.9928
_cell_angle_alpha 90.00
_cell_angle_beta 90.00
_cell_angle_gamma 90.00
_symmetry_space_group_name_H-M 'P 1'
_symmetry_Int_Tables_number 1
loop_
_symmetry_equiv_pos_as_xyz
'x,y,z'
loop_
_atom_site_label
_atom_site_type_symbol
_atom_site_fract_x
_atom_site_fract_y
_atom_site_fract_z
_atom_site_occupancy
Be1 Be 0.5000 0.0000 0.5000 1
Pt1 Pt 0.5000 0.5000 0.0000 1
Cd1 Cd 0.0000 0.0000 0.0000 1
Cd2 Cd 0.0000 0.5000 0.5000 1

***

3.
# PBE PmBePt, relaxed
# Energy relative to the elements = -76.2 kJ/mol of atoms
data_PmBePt
_chemical_formula_sum 'Pm1 Be1 Pt1'
_cell_length_a 4.0411
_cell_length_b 4.0728
_cell_length_c 4.0728
_cell_angle_alpha 120.00
_cell_angle_beta 90.00
_cell_angle_gamma 90.00
_symmetry_space_group_name_H-M 'P 1'
_symmetry_Int_Tables_number 1
loop_
_symmetry_equiv_pos_as_xyz
'x,y,z'
loop_
_atom_site_label
_atom_site_type_symbol
_atom_site_fract_x
_atom_site_fract_y
_atom_site_fract_z
_atom_site_occupancy
Be1 Be 0.1667 0.6667 0.3333 1
Pt1 Pt 0.1667 0.0000 0.0000 1
Pm1 Pm 0.6667 0.3333 0.6667 1

***

4.
# PBE La2Cr2C3, relaxed
# Energy relative to the elements = -16.5 kJ/mol of atoms
data_La2Cr2C3
_chemical_formula_sum 'La2 Cr2 C3'
_cell_length_a 3.5281
_cell_length_b 5.5195
_cell_length_c 6.1531
_cell_angle_alpha 69.51
_cell_angle_beta 73.34
_cell_angle_gamma 71.36
_symmetry_space_group_name_H-M 'P 1'
_symmetry_Int_Tables_number 1
loop_
_symmetry_equiv_pos_as_xyz
'x,y,z'
loop_
_atom_site_label
_atom_site_type_symbol
_atom_site_fract_x
_atom_site_fract_y
_atom_site_fract_z
_atom_site_occupancy
La1 La 0.5723 0.1873 0.6680 1
La2 La 0.4277 0.8127 0.3320 1
Cr1 Cr 0.7989 0.3219 0.0802 1
Cr2 Cr 0.2011 0.6781 0.9198 1
C1 C 0.0000 0.0000 0.0000 1
C2 C 0.7952 0.6265 0.7832 1
C3 C 0.2048 0.3735 0.2168 1

***

5.
# PBE TlAgAu, relaxed
# Energy relative to the elements = 0.0 kJ/mol of atoms
data_TlAgAu
_chemical_formula_sum 'Tl2 Ag2 Au2'
_cell_length_a 4.1981
_cell_length_b 4.1981
_cell_length_c 7.5791
_cell_angle_alpha 90.00
_cell_angle_beta 90.00
_cell_angle_gamma 90.00
_symmetry_space_group_name_H-M 'P 1'
_symmetry_Int_Tables_number 1
loop_
_symmetry_equiv_pos_as_xyz
'x,y,z'
loop_
_atom_site_label
_atom_site_type_symbol
_atom_site_fract_x
_atom_site_fract_y
_atom_site_fract_z
_atom_site_occupancy
Tl1 Tl 0.0000 0.5000 0.8490 1
Tl2 Tl 0.5000 0.0000 0.1510 1
Au1 Au 0.0000 0.5000 0.2382 1
Au2 Au 0.5000 0.0000 0.7618 1
Ag1 Ag 0.5000 0.5000 0.5000 1
Ag2 Ag 0.0000 0.0000 0.5000 1

***

6.
# PBE Bi6Pt3I, relaxed
# Uncorrected formation energy = -97 meV per atom
data_Bi6Pt3I
_chemical_formula_sum 'Bi6 Pt3 I1'
_cell_length_a 7.4595
_cell_length_b 7.4435
_cell_length_c 7.4702
_cell_angle_alpha 90.27
_cell_angle_beta 119.87
_cell_angle_gamma 119.84
_symmetry_space_group_name_H-M 'P 1'
_symmetry_Int_Tables_number 1
loop_
_symmetry_equiv_pos_as_xyz
'x,y,z'
loop_
_atom_site_label
_atom_site_type_symbol
_atom_site_fract_x
_atom_site_fract_y
_atom_site_fract_z
_atom_site_occupancy
Bi1 Bi 0.4015 0.4762 0.7264 1
Bi2 Bi 0.1658 0.7276 0.2400 1
Bi3 Bi 0.8021 0.0742 0.2394 1
Bi4 Bi 0.2492 0.9243 0.7255 1
Bi5 Bi 0.8013 0.3256 0.7247 1
Bi6 Bi 0.5091 0.4361 0.2376 1
Pt1 Pt 0.6816 0.3404 0.0215 1
Pt2 Pt 0.3218 0.6612 0.9832 1
Pt3 Pt 0.2570 0.1295 0.3848 1
I1 I 0.8106 0.9049 0.7170 1